KBaVO4 | the Alexandria database | GGA+U | relaxed; theoretical density = 3.856 Mg/m³; SG = Pnma; calculated total energy = -0.4930 Ry per atom; DOS at the Fermi energy = 0.00 states/eV/f.u.; relative energy among the computed polymorphs = 0 meV per atom
1.0
-4.4148 -3.3185 2.4157
3.8650 -0.1432 6.8667
-4.9904 8.8178 2.9928
K Ba V O
4 4 4 16
Cartesian
0.0001 2.8114 7.6230
-5.5404 2.5447 4.6522
-0.1707 -0.2297 3.1332
-5.3696 5.5858 9.1420
-2.6406 5.2386 6.1312
-2.8997 0.1175 6.1440
-5.1088 6.2568 3.0191
-0.4315 -0.9007 9.2561
-2.1268 2.8011 3.7217
-3.4135 2.5550 8.5535
1.4643 -0.2012 6.1604
-7.0046 5.5572 6.1148
-2.5132 4.0472 8.6542
-0.9172 2.8948 2.4665
-7.4124 4.0467 6.8891
-0.2378 -0.2766 6.5406
-3.0271 1.3089 3.6210
-4.6231 2.4613 9.8087
1.8721 1.3093 5.3861
-5.3025 5.6327 5.7346
-3.2217 4.1641 3.5931
-2.3186 1.1920 8.6821
-3.0921 7.2781 8.1077
-2.4482 -1.9220 4.1675
-7.9172 5.7041 4.6486
2.3769 -0.3480 7.6265
-4.1954 2.4709 7.0090
-1.3449 2.8852 5.2662